# 1
## DyURe4 (PBE-GGA)

Data for DyURe4 after structural relaxation.

Properties
For the magnetization, the calculation gives 2.3 μB/f.u. For the density of states at the Fermi level, the calculation gives 2.1314 states/eV/atom.

Cell: 7.654 7.654 7.654 Å, 90.00 90.00 90.00°
Space group F-43m (No. 216)
Inequivalent atoms, fractional coordinates:
Dy: 0.000 0.000 0.000 (multiplicity 4)
U: 0.250 0.250 0.750 (multiplicity 4)
Re: 0.125 0.125 0.375 (multiplicity 16)



# 2
## CrTcRh3 (PBE-GGA)

Data for CrTcRh3 after structural relaxation.

Properties
For the magnetization, the calculation gives 0.0 μB/f.u. For the density of states at the Fermi level, the calculation gives 1.0415 states/eV/atom. Its relative energy among the computed polymorphs is 4.72 kcal/mol of atoms.

Cell: 5.099 8.654 6.754 Å, 90.00 105.45 90.00°
Space group C2/m (No. 12)
Inequivalent atoms, fractional coordinates:
Cr: 0.036 0.000 0.161 (multiplicity 4)
Tc: 0.000 0.364 0.000 (multiplicity 4)
Rh: 0.164 0.282 0.686 (multiplicity 8)
Rh: 0.222 0.500 0.402 (multiplicity 4)



# 3
## Ac4ZnBi2 (PBE-GGA)

Data for Ac4ZnBi2 after structural relaxation.

Properties
For the magnetization, the calculation gives 0.0 μB/f.u. For the density of states at the Fermi level, the calculation gives 0.7528 states/eV/atom.

Cell: 5.693 5.693 17.918 Å, 90.00 90.00 90.00°
Space group I4/mmm (No. 139)
Inequivalent atoms, fractional coordinates:
Ac: 0.000 0.000 0.176 (multiplicity 4)
Ac: 0.000 0.500 0.000 (multiplicity 4)
Zn: 0.000 0.000 0.000 (multiplicity 2)
Bi: 0.000 0.000 0.367 (multiplicity 4)



Results for E_form: 0.0053, 0.1330, -0.3490 (in eV per atom, following the order of the records).